Record 1
Rb2NaSCl after structural relaxation. Source: the Alexandria database, functional PBE-GGA.

abc: 6.367 6.367 5.142
angles: 90.00 90.00 90.00
Sites, in units of the cell vectors:
Cl 0.500 0.500 0.500
Rb 0.000 0.500 0.000
Rb 0.500 0.000 0.000
Na 0.000 0.000 0.500
S 0.000 0.000 0.000

Output
Energy, eV/atom: -3.065
Density, Mg/m³: 2.08

Record 2
Lu2HfPb after structural relaxation. Source: the Alexandria database, functional PBE-GGA.

abc: 3.341 3.341 9.424
angles: 90.00 90.00 90.00
Sites, in units of the cell vectors:
Pb 0.500 0.500 0.000
Lu 0.000 0.000 0.258
Lu 0.000 0.000 0.742
Hf 0.500 0.500 0.500

Output
E above lowest polymorph, eV/f.u.: 0.000
Energy, eV/atom: -5.819
E_form, eV/atom: -0.143
Density, Mg/m³: 11.61

Record 3
SrMnIr2 after structural relaxation. Source: the Alexandria database, functional PBE-GGA.

abc: 5.092 5.092 5.092
angles: 131.16 131.16 71.56
Last column: magnetic moment on the atom in μB.
Sites, in units of the cell vectors:
Ir 0.250 0.750 0.500  -0.27
Sr 0.750 0.250 0.500  0.01
Mn 0.500 0.500 0.000  3.78
Ir 0.000 0.000 0.000  -0.38

Output
E above lowest polymorph, eV/f.u.: 2.315
Energy, eV/atom: -6.639
E_form, eV/atom: 0.504
Density, Mg/m³: 11.95

Record 4
HoCd3Ag2 after structural relaxation. Source: the Alexandria database, functional PBE-GGA.

abc: 5.004 7.845 7.530
angles: 106.36 109.41 90.00
Sites, in units of the cell vectors:
Ag 0.755 0.386 0.509
Cd 0.689 0.996 0.378
Ho 0.863 0.782 0.726
Ag 0.245 0.614 0.491
Ag 0.517 0.186 0.034
Ho 0.137 0.218 0.274
Ag 0.483 0.814 0.966
Cd 0.389 0.435 0.778
Cd 0.611 0.565 0.222
Cd 0.916 0.233 0.832
Cd 0.084 0.767 0.168
Cd 0.311 0.004 0.622

Output
Energy, eV/atom: -2.318
E_form, eV/atom: -0.147
Density, Mg/m³: 8.96

Record 5
GaTeP2Cl after structural relaxation. Source: the Alexandria database, functional PBE-GGA.

abc: 5.050 5.050 5.609
angles: 90.00 90.00 90.00
Sites, in units of the cell vectors:
Cl 0.000 0.000 0.500
Ga 0.500 0.500 0.500
P 0.000 0.500 0.000
Te 0.000 0.000 0.000
P 0.500 0.000 0.000

Output
E above lowest polymorph, eV/f.u.: 1.197
Energy, eV/atom: -3.070
Density, Mg/m³: 3.42

Record 6
Pm2ZnIr after structural relaxation. Source: the Alexandria database, functional PBE-GGA.

abc: 4.456 5.867 7.928
angles: 111.75 90.00 90.00
Sites, in units of the cell vectors:
Pm 0.750 0.232 0.919
Ir 0.250 0.358 0.715
Zn 0.250 0.346 0.213
Zn 0.750 0.654 0.787
Pm 0.250 0.788 0.563
Pm 0.250 0.768 0.081
Ir 0.750 0.642 0.285
Pm 0.750 0.212 0.437

Output
E above lowest polymorph, eV/f.u.: 0.000
Energy, eV/atom: -5.477
E_form, eV/atom: -0.568
Density, Mg/m³: 9.45